[1]
AgH3Rh after structural relaxation. Source: the Alexandria database, functional PBE-GGA.

Calculated values
**Polymorph energy (0 for the lowest one)**: 17 meV/atom

Lattice parameters (Å, degrees): 4.735 2.885 6.626 90.01 90.00 75.69
Fractional positions:
1 H 0.387 0.531 0.967
2 Rh 0.163 0.122 0.987
3 H 0.935 0.714 0.017
4 H 0.264 0.086 0.237
5 H 0.935 0.714 0.458
6 Ag 0.648 0.453 0.237
7 Rh 0.163 0.122 0.487
8 Ag 0.716 0.809 0.737
9 H 0.259 0.101 0.737
10 H 0.387 0.531 0.507


[2]
AgH3Rh after structural relaxation. Source: the Alexandria database, functional PBE-GGA.

Calculated values
**Polymorph energy (0 for the lowest one)**: 66 meV/atom

Lattice parameters (Å, degrees): 8.728 6.327 6.327 88.86 126.52 53.48
Fractional positions:
1 Ag 0.250 0.859 0.359
2 H 0.410 0.193 0.343
3 H 0.090 0.843 0.693
4 Rh 0.355 0.223 0.564
5 H 0.180 0.610 0.390
6 H 0.077 0.376 0.200
7 H 0.320 0.890 0.110
8 Rh 0.145 0.064 0.723
9 H 0.923 0.624 0.800
10 H 0.423 0.700 0.876
11 Ag 0.750 0.141 0.641
12 H 0.590 0.807 0.657
13 H 0.820 0.390 0.610
14 Ag 0.750 0.600 0.100
15 Rh 0.855 0.936 0.277
16 Ag 0.250 0.400 0.900
17 H 0.680 0.110 0.890
18 H 0.577 0.300 0.124
19 H 0.910 0.157 0.307
20 Rh 0.645 0.777 0.436


[3]
AgH3Rh3 after structural relaxation. Source: the Alexandria database, functional PBE-GGA.

Lattice parameters (Å, degrees): 5.236 5.236 5.236 90.00 90.00 90.00
Fractional positions:
1 Rh 0.500 0.000 0.250
2 Ag 0.000 0.000 0.000
3 H 0.250 0.000 0.500
4 Ag 0.500 0.500 0.500
5 Rh 0.750 0.500 0.000
6 Rh 0.000 0.250 0.500
7 Rh 0.000 0.750 0.500
8 Rh 0.500 0.000 0.750
9 H 0.750 0.000 0.500
10 H 0.500 0.250 0.000
11 H 0.000 0.500 0.750
12 H 0.500 0.750 0.000
13 Rh 0.250 0.500 0.000
14 H 0.000 0.500 0.250


[4]
Ag2H8Rh3 after structural relaxation. Source: the Alexandria database, functional PBE-GGA.

Lattice parameters (Å, degrees): 5.620 5.620 8.486 90.00 90.00 120.00
Fractional positions:
1 H 0.667 0.333 0.651
2 H 0.269 0.135 0.134
3 Rh 0.835 0.671 0.747
4 Rh 0.329 0.165 0.747
5 Rh 0.671 0.835 0.247
6 H 0.958 0.479 0.850
7 H 0.000 0.000 0.855
8 Ag 0.333 0.667 0.565
9 H 0.521 0.042 0.850
10 H 0.135 0.865 0.634
11 Rh 0.165 0.835 0.247
12 H 0.865 0.135 0.134
13 H 0.521 0.479 0.850
14 H 0.333 0.667 0.151
15 Ag 0.667 0.333 0.426
16 Ag 0.667 0.333 0.065
17 H 0.731 0.865 0.634
18 H 0.135 0.269 0.634
19 Rh 0.165 0.329 0.247
20 H 0.479 0.958 0.350
21 H 0.865 0.731 0.134
22 H 0.000 0.000 0.355
23 Rh 0.835 0.165 0.747
24 H 0.479 0.521 0.350
25 H 0.042 0.521 0.350
26 Ag 0.333 0.667 0.926


[5]
AgH3Rh after structural relaxation. Source: the Alexandria database, functional PBE-GGA.

Calculated values
**Polymorph energy (0 for the lowest one)**: 50 meV/atom

Lattice parameters (Å, degrees): 4.778 4.806 5.295 89.99 63.29 59.78
Fractional positions:
1 Ag 0.504 0.703 0.051
2 H 0.867 0.021 0.492
3 Ag 0.923 0.494 0.428
4 H 0.383 0.504 0.493
5 Rh 0.347 0.281 0.787
6 H 0.383 0.023 0.493
7 Rh 0.080 0.915 0.692
8 H 0.043 0.692 0.986
9 H 0.559 0.175 0.987
10 H 0.043 0.174 0.986


[6]
Ag3H4Rh after structural relaxation. Source: the Alexandria database, functional PBE-GGA.

Lattice parameters (Å, degrees): 5.282 5.282 5.282 73.23 128.18 132.10
Fractional positions:
1 Ag 0.584 0.745 0.329
2 Ag 0.584 0.255 0.839
3 H 0.583 0.261 0.322
4 Ag 0.995 0.000 0.995
5 Rh 0.094 0.500 0.594
6 H 0.125 0.299 0.425
7 H 0.125 0.701 0.826
8 H 0.060 0.739 0.322


Which raw total energy belongs to each record? In order, -4.000, -3.950, -4.823, -4.159, -3.967, -3.496 eV/atom.